This record from the Alexandria database describes a relaxed structure of SrAlSCl2. The functional is PBE-GGA.

extended XYZ file:
```
5
Lattice="4.926 0.000 0.000 0.000 4.926 0.000 0.000 0.000 4.933" Properties=species:S:1:pos:R:3 pbc="T T T"
Cl 0.000 2.463 0.000
Al 0.000 0.000 0.000
Sr 2.463 2.463 2.467
Cl 2.463 0.000 0.000
S 0.000 0.000 2.467
```

## Properties
The value obtained for the polymorph energy (0 for the lowest one) is 0.000 eV/atom. The total energy comes out at -3.99 eV per atom. The formation energy (no corrections) comes out at -6.69 eV per formula unit. The calculation puts the volume at 119.7 Å³ per cell.

This record from the Alexandria database describes a relaxed structure of SrAlSCl2. The functional is PBE-GGA.

extended XYZ file:
```
5
Lattice="5.584 0.000 0.000 0.000 5.584 0.000 0.000 0.000 5.858" Properties=species:S:1:pos:R:3 pbc="T T T"
S 0.000 0.000 2.929
Sr 0.000 0.000 0.000
Cl 0.000 2.792 0.000
Cl 2.792 0.000 0.000
Al 2.792 2.792 2.929
```

## Properties
The value obtained for the polymorph energy (0 for the lowest one) is 0.544 eV/atom. The total energy comes out at -3.44 eV per atom. The formation energy (no corrections) comes out at -3.97 eV per formula unit. The calculation puts the volume at 182.6 Å³ per cell.

This record from the Alexandria database describes a relaxed structure of TaAlSCl2. The functional is PBE-GGA.

extended XYZ file:
```
5
Lattice="4.913 0.000 0.000 0.000 4.913 0.000 0.000 0.000 4.821" Properties=species:S:1:pos:R:3 pbc="T T T"
Cl 2.457 0.000 0.000
Al 2.457 2.457 2.411
Ta 0.000 0.000 0.000
Cl 0.000 2.457 0.000
S 0.000 0.000 2.411
```

## Properties
The value obtained for the polymorph energy (0 for the lowest one) is 0.000 eV/atom. The total energy comes out at -5.02 eV per atom. The formation energy (no corrections) comes out at -1.69 eV per formula unit. The calculation puts the volume at 116.4 Å³ per cell.

This record from the Alexandria database describes a relaxed structure of TaAlSCl2. The functional is PBE-GGA.

extended XYZ file:
```
5
Lattice="4.603 0.000 0.000 0.000 4.603 0.000 0.000 0.000 4.807" Properties=species:S:1:pos:R:3 pbc="T T T"
Cl 2.301 0.000 0.000
S 0.000 0.000 2.403
Ta 2.301 2.301 2.403
Cl 0.000 2.301 0.000
Al 0.000 0.000 0.000
```

## Properties
The value obtained for the polymorph energy (0 for the lowest one) is 0.669 eV/atom. The total energy comes out at -4.35 eV per atom. The formation energy (no corrections) comes out at 1.66 eV per formula unit. The calculation puts the volume at 101.8 Å³ per cell.

This record from the Alexandria database describes a relaxed structure of AlTcS2Cl. The functional is PBE-GGA.

extended XYZ file:
```
5
Lattice="-0.777 1.303 -4.324 -1.672 -4.159 -0.953 -4.719 1.592 1.328" Properties=species:S:1:pos:R:3 pbc="T T T"
Al -3.584 -0.632 -1.974
Cl -2.359 0.796 0.664
Tc 0.000 0.000 0.000
S -0.836 -2.080 -0.476
S -0.389 0.651 -2.162
```

## Properties
The value obtained for the polymorph energy (0 for the lowest one) is 0.000 eV/atom. The total energy comes out at -4.80 eV per atom. The formation energy (no corrections) comes out at 0.22 eV per formula unit. The calculation puts the volume at 108.2 Å³ per cell.

This record from the Alexandria database describes a relaxed structure of AlTcSCl2. The functional is PBE-GGA.

extended XYZ file:
```
5
Lattice="-2.880 1.893 3.655 2.597 -2.626 3.406 2.848 3.425 0.470" Properties=species:S:1:pos:R:3 pbc="T T T"
Cl 1.298 -1.313 1.703
Al 1.282 1.346 3.766
S 1.424 1.713 0.235
Tc 0.000 0.000 0.000
Cl -1.440 0.946 1.828
```

## Properties
The value obtained for the polymorph energy (0 for the lowest one) is 0.000 eV/atom. The total energy comes out at -4.44 eV per atom. The formation energy (no corrections) comes out at -0.27 eV per formula unit. The calculation puts the volume at 113.1 Å³ per cell.